Record 1
VASP calculation (PBE) on an optimized crystal structure of Hf2CrHOs.

Uncorrected energy   -9.15 eV/atom
Total moment   0.1402 μB per atom

a = 4.577 Å, b = 4.577 Å, c = 3.326 Å
α = 90.00°, β = 90.00°, γ = 90.00°
Sites, in units of the cell vectors:
Hf: 0.000 0.500 0.000
Hf: 0.500 0.000 0.000
Cr: 0.000 0.000 0.500
H: 0.000 0.000 0.000
Os: 0.500 0.500 0.500

***

Record 2
VASP calculation (PBE) on an optimized crystal structure of Be2Hg2B.

Energy of formation from the pure elements   1.02 eV per atom
Total moment   0.0000 μB per atom
Energy above the lowest structure with this stoichiometry   0 meV per atom

a = 7.791 Å, b = 7.791 Å, c = 7.791 Å
α = 156.92°, β = 156.92°, γ = 32.87°
Sites, in units of the cell vectors:
Be: 0.250 0.750 0.500
Be: 0.750 0.250 0.500
Hg: 0.108 0.108 0.000
Hg: 0.892 0.892 0.000
B: 0.500 0.500 0.000

***

Record 3
VASP calculation (PBE) on an optimized crystal structure of Ac11Sm4Y9.

Energy of formation from the pure elements   0.09 eV per atom
Total moment   0.0001 μB per atom

a = 16.115 Å, b = 16.115 Å, c = 3.870 Å
α = 90.00°, β = 90.00°, γ = 113.26°
Sites, in units of the cell vectors:
Ac: 0.000 0.000 0.000
Ac: 0.043 0.404 0.000
Ac: 0.159 0.841 0.000
Ac: 0.292 0.292 0.000
Ac: 0.369 0.631 0.000
Ac: 0.404 0.043 0.000
Ac: 0.596 0.957 0.000
Ac: 0.631 0.369 0.000
Ac: 0.708 0.708 0.000
Ac: 0.841 0.159 0.000
Ac: 0.957 0.596 0.000
Sm: 0.241 0.444 0.500
Sm: 0.444 0.241 0.500
Sm: 0.556 0.759 0.500
Sm: 0.759 0.556 0.500
Y: 0.069 0.214 0.500
Y: 0.168 0.631 0.500
Y: 0.214 0.069 0.500
Y: 0.369 0.832 0.500
Y: 0.500 0.500 0.500
Y: 0.631 0.168 0.500
Y: 0.786 0.931 0.500
Y: 0.832 0.369 0.500
Y: 0.931 0.786 0.500

***

Record 4
VASP calculation (PBE) on an optimized crystal structure of KSr3Pt.

Energy of formation from the pure elements   1.16 eV per atom
Total moment   0.3574 μB per atom
Energy above the lowest structure with this stoichiometry   1563 meV per atom

a = 6.171 Å, b = 6.171 Å, c = 6.171 Å
α = 90.00°, β = 90.00°, γ = 90.00°
Sites, in units of the cell vectors:
K: 0.000 0.000 0.000
Sr: 0.000 0.000 0.500
Sr: 0.000 0.500 0.000
Sr: 0.500 0.000 0.000
Pt: 0.500 0.500 0.500

***

Record 5
VASP calculation (PBE) on an optimized crystal structure of Li2SbBr.

Total moment   0.0000 μB per atom
Energy above the lowest structure with this stoichiometry   273 meV per atom

a = 6.497 Å, b = 6.497 Å, c = 6.497 Å
α = 115.68°, β = 115.68°, γ = 97.67°
Sites, in units of the cell vectors:
Li: 0.076 0.125 0.451
Li: 0.375 0.924 0.049
Li: 0.674 0.625 0.549
Li: 0.875 0.326 0.951
Sb: 0.250 0.750 0.500
Sb: 0.500 0.500 0.000
Br: 0.000 0.000 0.000
Br: 0.750 0.250 0.500

***

Record 6
VASP calculation (PBE) on an optimized crystal structure of Li2Pm2Al5Cu.

Energy of formation from the pure elements   -0.25 eV per atom
Total moment   0.0000 μB per atom

a = 9.428 Å, b = 9.428 Å, c = 4.182 Å
α = 90.00°, β = 90.00°, γ = 90.00°
Sites, in units of the cell vectors:
Li: 0.111 0.389 0.000
Li: 0.389 0.889 0.000
Li: 0.611 0.111 0.000
Li: 0.889 0.611 0.000
Pm: 0.186 0.686 0.000
Pm: 0.314 0.186 0.000
Pm: 0.686 0.814 0.000
Pm: 0.814 0.314 0.000
Al: 0.000 0.500 0.500
Al: 0.051 0.198 0.500
Al: 0.198 0.949 0.500
Al: 0.302 0.449 0.500
Al: 0.449 0.698 0.500
Al: 0.500 0.000 0.500
Al: 0.551 0.302 0.500
Al: 0.698 0.551 0.500
Al: 0.802 0.051 0.500
Al: 0.949 0.802 0.500
Cu: 0.000 0.000 0.000
Cu: 0.500 0.500 0.000

***

Record 7
VASP calculation (PBE) on an optimized crystal structure of Tb2PuBiO8.

Uncorrected energy   -8.19 eV/atom
Total moment   0.0820 μB per atom

a = 5.148 Å, b = 5.148 Å, c = 7.066 Å
α = 90.00°, β = 90.00°, γ = 90.97°
Sites, in units of the cell vectors:
Tb: 0.000 0.000 0.244
Tb: 0.000 0.000 0.756
Pu: 0.500 0.500 0.500
Bi: 0.500 0.500 0.000
O: 0.187 0.187 0.000
O: 0.222 0.222 0.500
O: 0.314 0.686 0.284
O: 0.314 0.686 0.716
O: 0.686 0.314 0.284
O: 0.686 0.314 0.716
O: 0.778 0.778 0.500
O: 0.813 0.813 0.000

***

Record 8
VASP calculation (PBE) on an optimized crystal structure of HfPaP2.

Energy of formation from the pure elements   -1.31 eV per atom
Total moment   0.0000 μB per atom
Energy above the lowest structure with this stoichiometry   0 meV per atom

a = 6.543 Å, b = 6.543 Å, c = 6.543 Å
α = 34.32°, β = 34.32°, γ = 34.32°
Sites, in units of the cell vectors:
Hf: 0.000 0.000 0.000
Pa: 0.500 0.500 0.500
P: 0.256 0.256 0.256
P: 0.744 0.744 0.744

***

Record 9
VASP calculation (PBE) on an optimized crystal structure of Rb3PPt.

Energy of formation from the pure elements   -0.21 eV per atom
Total moment   0.0001 μB per atom
Energy above the lowest structure with this stoichiometry   0 meV per atom

a = 6.907 Å, b = 6.907 Å, c = 9.316 Å
α = 91.98°, β = 91.98°, γ = 104.85°
Sites, in units of the cell vectors:
Rb: 0.114 0.708 0.677
Rb: 0.279 0.279 0.953
Rb: 0.292 0.886 0.323
Rb: 0.708 0.114 0.677
Rb: 0.721 0.721 0.047
Rb: 0.886 0.292 0.323
P: 0.305 0.305 0.568
P: 0.695 0.695 0.432
Pt: 0.429 0.429 0.353
Pt: 0.571 0.571 0.647

***

Record 10
VASP calculation (PBE) on an optimized crystal structure of NaYOF2.

Total moment   0.0000 μB per atom
Energy above the lowest structure with this stoichiometry   623 meV per atom

a = 3.831 Å, b = 3.831 Å, c = 4.335 Å
α = 90.00°, β = 90.00°, γ = 90.00°
Sites, in units of the cell vectors:
Na: 0.000 0.000 0.000
Y: 0.500 0.500 0.500
O: 0.000 0.000 0.500
F: 0.000 0.500 0.000
F: 0.500 0.000 0.000

***

Record 11
VASP calculation (PBE) on an optimized crystal structure of Pr2AgF8.

Uncorrected energy   -5.72 eV/atom
Total moment   0.0914 μB per atom

a = 6.824 Å, b = 6.824 Å, c = 4.432 Å
α = 96.97°, β = 96.97°, γ = 112.64°
Sites, in units of the cell vectors:
Pr: 0.169 0.831 0.000
Pr: 0.831 0.169 0.000
Ag: 0.500 0.500 0.000
F: 0.121 0.121 0.269
F: 0.171 0.458 0.937
F: 0.233 0.767 0.500
F: 0.458 0.171 0.937
F: 0.542 0.829 0.063
F: 0.767 0.233 0.500
F: 0.829 0.542 0.063
F: 0.879 0.879 0.731

***

Record 12
VASP calculation (PBE) on an optimized crystal structure of LiTlIrCl6.

Uncorrected energy   -3.57 eV/atom
Total moment   0.1173 μB per atom

a = 6.466 Å, b = 6.466 Å, c = 13.793 Å
α = 90.00°, β = 90.00°, γ = 120.00°
Sites, in units of the cell vectors:
Li: 0.333 0.667 0.250
Li: 0.667 0.333 0.750
Tl: 0.000 0.000 0.000
Tl: 0.000 0.000 0.500
Ir: 0.333 0.667 0.750
Ir: 0.667 0.333 0.250
Cl: 0.027 0.382 0.652
Cl: 0.027 0.645 0.848
Cl: 0.355 0.382 0.848
Cl: 0.355 0.973 0.652
Cl: 0.382 0.027 0.152
Cl: 0.382 0.355 0.348
Cl: 0.618 0.645 0.652
Cl: 0.618 0.973 0.848
Cl: 0.645 0.027 0.348
Cl: 0.645 0.618 0.152
Cl: 0.973 0.355 0.152
Cl: 0.973 0.618 0.348

***

Record 13
VASP calculation (PBE) on an optimized crystal structure of PuTi4Nb2.

Energy of formation from the pure elements   0.07 eV per atom
Total moment   0.6855 μB per atom

a = 5.753 Å, b = 7.225 Å, c = 7.435 Å
α = 112.95°, β = 105.95°, γ = 103.02°
Sites, in units of the cell vectors:
Pu: 0.000 0.000 0.000
Pu: 0.108 0.853 0.554
Ti: 0.047 0.437 0.264
Ti: 0.371 0.155 0.421
Ti: 0.384 0.565 0.693
Ti: 0.532 0.016 0.996
Ti: 0.585 0.852 0.543
Ti: 0.746 0.706 0.120
Ti: 0.862 0.146 0.426
Ti: 0.869 0.547 0.677
Nb: 0.208 0.304 0.858
Nb: 0.255 0.722 0.110
Nb: 0.548 0.433 0.269
Nb: 0.699 0.290 0.838

***

Record 14
VASP calculation (PBE) on an optimized crystal structure of Rb4Na2Ag.

Energy of formation from the pure elements   0.10 eV per atom
Total moment   0.0000 μB per atom

a = 11.229 Å, b = 11.229 Å, c = 11.229 Å
α = 144.12°, β = 144.12°, γ = 51.64°
Sites, in units of the cell vectors:
Rb: 0.000 0.500 0.500
Rb: 0.179 0.179 0.000
Rb: 0.500 0.000 0.500
Rb: 0.821 0.821 0.000
Na: 0.380 0.380 0.000
Na: 0.620 0.620 0.000
Ag: 0.000 0.000 0.000

***

Record 15
VASP calculation (PBE) on an optimized crystal structure of AgHAu.

Total moment   0.0000 μB per atom
Energy above the lowest structure with this stoichiometry   260 meV per atom

a = 4.198 Å, b = 4.198 Å, c = 4.198 Å
α = 124.55°, β = 124.55°, γ = 82.28°
Sites, in units of the cell vectors:
Ag: 0.000 0.000 0.000
H: 0.287 0.287 0.000
Au: 0.554 0.554 0.000

***

Record 16
VASP calculation (PBE) on an optimized crystal structure of Tl4SnS3.

Total moment   0.0000 μB per atom
Energy above the lowest structure with this stoichiometry   0 meV per atom

a = 8.111 Å, b = 8.111 Å, c = 14.256 Å
α = 90.00°, β = 90.00°, γ = 90.00°
Sites, in units of the cell vectors:
Tl: 0.092 0.608 0.107
Tl: 0.092 0.892 0.607
Tl: 0.108 0.592 0.393
Tl: 0.108 0.908 0.893
Tl: 0.392 0.592 0.893
Tl: 0.392 0.908 0.393
Tl: 0.408 0.608 0.607
Tl: 0.408 0.892 0.107
Tl: 0.592 0.108 0.893
Tl: 0.592 0.392 0.393
Tl: 0.608 0.092 0.607
Tl: 0.608 0.408 0.107
Tl: 0.892 0.092 0.107
Tl: 0.892 0.408 0.607
Tl: 0.908 0.108 0.393
Tl: 0.908 0.392 0.893
Sn: 0.250 0.250 0.241
Sn: 0.250 0.250 0.741
Sn: 0.750 0.750 0.259
Sn: 0.750 0.750 0.759
S: 0.081 0.581 0.750
S: 0.081 0.919 0.250
S: 0.250 0.250 0.418
S: 0.250 0.250 0.918
S: 0.419 0.581 0.250
S: 0.419 0.919 0.750
S: 0.581 0.081 0.250
S: 0.581 0.419 0.750
S: 0.750 0.750 0.082
S: 0.750 0.750 0.582
S: 0.919 0.081 0.750
S: 0.919 0.419 0.250

***

Record 17
VASP calculation (PBE) on an optimized crystal structure of Cu5I3Br3.

Uncorrected energy   -2.97 eV/atom
Total moment   0.0000 μB per atom

a = 4.131 Å, b = 12.403 Å, c = 6.014 Å
α = 90.00°, β = 90.00°, γ = 90.00°
Sites, in units of the cell vectors:
Cu: 0.000 0.000 0.000
Cu: 0.000 0.352 0.041
Cu: 0.000 0.648 0.041
Cu: 0.500 0.179 0.504
Cu: 0.500 0.821 0.504
I: 0.000 0.176 0.768
I: 0.000 0.824 0.768
I: 0.500 0.000 0.267
Br: 0.000 0.500 0.794
Br: 0.500 0.334 0.263
Br: 0.500 0.666 0.263

***

Record 18
VASP calculation (PBE) on an optimized crystal structure of IrAu2Cl.

Total moment   0.2280 μB per atom
Energy above the lowest structure with this stoichiometry   97 meV per atom

a = 8.861 Å, b = 8.861 Å, c = 8.861 Å
α = 19.94°, β = 19.94°, γ = 19.94°
Sites, in units of the cell vectors:
Ir: 0.000 0.000 0.000
Au: 0.252 0.252 0.252
Au: 0.748 0.748 0.748
Cl: 0.500 0.500 0.500

***

Record 19
VASP calculation (PBE) on an optimized crystal structure of MnAlVNi.

Energy of formation from the pure elements   -0.31 eV per atom
Total moment   0.1430 μB per atom

a = 4.088 Å, b = 4.088 Å, c = 4.088 Å
α = 60.00°, β = 60.00°, γ = 60.00°
Sites, in units of the cell vectors:
Mn: 0.000 0.000 0.000
Al: 0.250 0.250 0.250
V: 0.750 0.750 0.750
Ni: 0.500 0.500 0.500

***

Record 20
VASP calculation (PBE) on an optimized crystal structure of Pr3Y2HoS6.

Uncorrected energy   -6.73 eV/atom
Total moment   0.0000 μB per atom

a = 6.886 Å, b = 6.886 Å, c = 7.043 Å
α = 99.37°, β = 99.37°, γ = 120.16°
Sites, in units of the cell vectors:
Pr: 0.000 0.000 0.000
Pr: 0.332 0.668 0.000
Pr: 0.668 0.332 0.000
Y: 0.167 0.833 0.500
Y: 0.833 0.167 0.500
Ho: 0.500 0.500 0.500
S: 0.092 0.423 0.269
S: 0.246 0.246 0.732
S: 0.423 0.092 0.269
S: 0.577 0.908 0.731
S: 0.754 0.754 0.268
S: 0.908 0.577 0.731

***

Record 21
VASP calculation (PBE) on an optimized crystal structure of Mn2GeHN.

Total moment   0.7841 μB per atom
Energy above the lowest structure with this stoichiometry   79 meV per atom

a = 2.844 Å, b = 2.844 Å, c = 7.415 Å
α = 101.12°, β = 101.12°, γ = 59.81°
Sites, in units of the cell vectors:
Mn: 0.000 0.000 0.000
Mn: 0.566 0.566 0.695
Ge: 0.433 0.433 0.296
H: 0.861 0.861 0.583
N: 0.284 0.284 0.853

***

Record 22
VASP calculation (PBE) on an optimized crystal structure of Pr2CdHg6.

Energy of formation from the pure elements   -0.29 eV per atom
Total moment   0.0000 μB per atom
Energy above the lowest structure with this stoichiometry   49 meV per atom

a = 6.193 Å, b = 6.193 Å, c = 6.065 Å
α = 91.73°, β = 91.73°, γ = 91.53°
Sites, in units of the cell vectors:
Pr: 0.175 0.175 0.178
Pr: 0.825 0.825 0.822
Cd: 0.500 0.500 0.500
Hg: 0.001 0.335 0.669
Hg: 0.335 0.001 0.669
Hg: 0.335 0.665 0.000
Hg: 0.665 0.335 0.000
Hg: 0.665 0.999 0.331
Hg: 0.999 0.665 0.331